Here is a relaxed structure of CsZn2BiF8 from the Alexandria database. Energies are from PBE.

The structure in POSCAR format:
```
CsZn2BiF8
1.0
-1.6071 5.2284 0.4998
-1.4376 2.8693 -4.4575
-9.5321 -0.0145 -0.3192
Cs Zn Bi F
1 2 1 8
Direct
0.0000 0.0000 0.0000
0.7499 0.7499 0.7504
0.2501 0.2501 0.2496
0.5000 0.5000 0.5000
0.6813 0.6813 0.9561
0.3187 0.3187 0.0439
0.5333 0.2402 0.3405
0.7598 0.4667 0.6595
0.1141 0.7598 0.6595
0.2402 0.8859 0.3405
0.8859 0.5333 0.3405
0.4667 0.1141 0.6595
```

Properties
size of the total moment: 0.0 μB/f.u.
formation energy without anion corrections: -229.8 kJ/mol of atoms